Record 1
Mg2Sn | PBE | optimized geometry

```
Mg2Sn
1.0
-2.027 -3.796 -2.582
4.956 0.776 -0.154
0.757 -3.834 5.043
Mg Sn
4 2
direct
0.667 0.333 0.250
0.000 0.000 0.000
0.333 0.667 0.750
0.000 0.000 0.500
0.333 0.667 0.250
0.667 0.333 0.750
```

## Properties
**Symmetry**: P6_3/mmc
**E_form**: -0.111 eV per atom

***

Record 2
PrAgTe2 | PBE | optimized geometry

```
PrAgTe2
1.0
-0.576 -6.917 -2.483
7.856 -0.194 1.252
-1.286 -2.643 7.659
Pr Ag Te
4 4 8
direct
0.799 0.701 0.537
0.799 0.201 0.963
0.201 0.799 0.037
0.201 0.299 0.463
0.574 0.040 0.336
0.574 0.540 0.164
0.426 0.460 0.836
0.426 0.960 0.664
0.941 0.000 0.276
0.059 0.500 0.776
0.059 0.000 0.724
0.387 0.210 0.104
0.387 0.710 0.396
0.941 0.500 0.224
0.613 0.790 0.896
0.613 0.290 0.604
```

## Properties
**Symmetry**: P2_1/c
**E_form (uncorrected)**: -3.81 eV/f.u.

***

Record 3
Dy5Cu4Hg | PBE | optimized geometry

```
Dy5Cu4Hg
1.0
-0.625 2.163 2.672
-3.411 -0.729 -0.207
2.192 -13.528 11.465
Dy Cu Hg
5 4 1
direct
0.500 0.500 0.885
0.500 0.500 0.693
0.500 0.500 0.500
0.500 0.500 0.115
0.500 0.500 0.307
0.000 0.000 0.211
0.000 0.000 0.597
0.000 0.000 0.403
0.000 0.000 0.789
0.000 0.000 0.000
```

## Properties
**Symmetry**: P4/mmm
**E_form**: -0.292 eV per atom

***

Record 4
ReBAs3 | PBE | optimized geometry

```
ReBAs3
1.0
4.826 0.000 0.000
0.000 4.826 0.000
0.000 0.000 4.826
As B Re
3 1 1
direct
0.000 0.000 0.500
0.000 0.500 0.000
0.500 0.000 0.000
0.500 0.500 0.500
0.000 0.000 0.000
```

## Properties
**Symmetry**: Pm-3m
**E_form**: 1.429 eV per atom
**Distance to the lowest polymorph of the same formula**: 219 meV/atom